{"formula": "Li4V3OF11", "functional": "PBE+U", "state": "relaxed", "sg": "P1", "dft_energy_ev_per_cell": -109.084, "cell": [[5.553, 0.000, 0.000], [-0.811, 6.190, 0.000], [-1.288, -1.773, 6.116]], "species": ["Li", "Li", "Li", "Li", "V", "V", "V", "O", "F", "F", "F", "F", "F", "F", "F", "F", "F", "F", "F"], "frac_coords": [[0.000, 0.000, 0.000], [0.225, 0.525, 0.080], [0.525, 0.218, 0.170], [0.751, 0.755, 0.266], [0.076, 0.266, 0.499], [0.367, 0.848, 0.629], [0.674, 0.493, 0.765], [0.320, 0.548, 0.653], [0.035, 0.927, 0.504], [0.210, 0.284, 0.235], [0.317, 0.985, 0.917], [0.429, 0.767, 0.337], [0.452, 0.176, 0.604], [0.544, 0.457, 0.026], [0.721, 0.825, 0.760], [0.797, 0.074, 0.230], [0.799, 0.459, 0.478], [0.951, 0.677, 0.033], [0.952, 0.294, 0.785]]}